Na2Sn2Bi: relaxed, PBE.

Calculated values
SG   C2/c (15)
Calculated total energy   -3.053 eV/atom
Formation energy   -148 meV per atom
Total moment   0.00 μB/f.u.
Calculated density   5.72 Mg/m³

abc: 6.2993 6.4225 9.0286
angles: 112.53 90.00 119.37
Last column: nearest neighbours and their distance in Å.
Positions (direct):
Na (0.5672, 0.4193, 0.1507)  3 Bi 3.27-3.36, 5 Sn 3.29-3.56, 3 Na 3.49-3.54
Na (0.1479, 0.5807, 0.3493)  3 Bi 3.27-3.36, 5 Sn 3.29-3.56, 3 Na 3.50-3.54
Na (0.4328, 0.5807, 0.8493)  3 Bi 3.27-3.36, 5 Sn 3.29-3.56, 3 Na 3.49-3.54
Na (0.8521, 0.4193, 0.6507)  3 Bi 3.27-3.36, 5 Sn 3.29-3.56, 3 Na 3.50-3.54
Sn (0.7247, 0.8177, 0.5626)  2 Sn 3.09-3.33, 1 Bi 3.25, 4 Na 3.29-3.40
Sn (0.9070, 0.1823, 0.9374)  2 Sn 3.09-3.33, 1 Bi 3.25, 4 Na 3.29-3.40
Sn (0.2753, 0.1823, 0.4374)  2 Sn 3.09-3.33, 1 Bi 3.25, 4 Na 3.29-3.40
Sn (0.0930, 0.8177, 0.0626)  2 Sn 3.09-3.33, 1 Bi 3.25, 4 Na 3.29-3.40
Bi (0.6389, 0.0000, 0.2500)  4 Sn 3.25-3.57, 6 Na 3.27-3.36
Bi (0.3611, 0.0000, 0.7500)  4 Sn 3.25-3.57, 6 Na 3.27-3.36